BaAlCuBiO5: optimized geometry, PBE.

```
9
Lattice="3.744 0.000 0.000 0.000 3.744 0.000 0.000 0.000 9.383" Properties=species:S:1:pos:R:3 pbc="T T T"
Ba 0.000 0.000 0.000
Al 0.000 0.000 3.638
Cu 1.872 1.872 2.120
Bi 1.872 1.872 6.027
O 0.000 1.872 2.351
O 0.000 1.872 4.786
O 1.872 0.000 2.351
O 1.872 0.000 4.786
O 1.872 1.872 8.543
```

Its mass density is 6.527 Mg/m³. The calculation puts the formation energy from raw total energies at -1506 meV/atom. For the total energy, the calculation gives -5.777 eV/atom.


BaAl2GeBi: optimized geometry, PBE.

```
5
Lattice="5.529 0.000 0.000 0.000 5.529 0.000 0.000 0.000 5.774" Properties=species:S:1:pos:R:3 pbc="T T T"
Ba 0.000 0.000 0.000
Al 0.000 2.765 2.887
Al 2.765 0.000 2.887
Ge 2.765 2.765 0.000
Bi 2.765 2.765 2.887
```

Its energy relative to the elements is 0.44 eV per atom. Its mass density is 4.449 Mg/m³. For the total energy, the calculation gives -3.140 eV/atom.


BaAlHgBi2: optimized geometry, PBE.

```
5
Lattice="5.658 0.000 0.000 0.000 5.658 0.000 0.000 0.000 5.321" Properties=species:S:1:pos:R:3 pbc="T T T"
Ba 0.000 0.000 0.000
Al 2.829 2.829 2.661
Hg 2.829 2.829 0.000
Bi 0.000 2.829 2.661
Bi 2.829 0.000 2.661
```

Its energy relative to the elements is -0.23 eV per atom. Its mass density is 7.631 Mg/m³. For the total energy, the calculation gives -2.980 eV/atom.


Ba3Al2Hg2Bi4: optimized geometry, PBE.

```
11
Lattice="-2.561 2.561 14.421 2.561 -2.561 14.421 2.561 2.561 -14.421" Properties=species:S:1:pos:R:3 pbc="T T T"
Ba 0.000 0.000 0.000
Ba 0.000 0.000 5.496
Ba 0.000 0.000 23.345
Al 0.000 0.000 13.127
Al 0.000 0.000 15.715
Hg 0.000 0.000 9.016
Hg 0.000 0.000 19.825
Bi 2.561 0.000 2.798
Bi 2.561 0.000 11.623
Bi 0.000 2.561 2.798
Bi 0.000 2.561 11.623
```

Its energy relative to the elements is -0.42 eV per atom. Its mass density is 7.475 Mg/m³. For the total energy, the calculation gives -3.087 eV/atom.


Ba2AlHg4Bi2: optimized geometry, PBE.

```
9
Lattice="-3.619 3.619 5.397 3.619 -3.619 5.397 3.619 3.619 -5.397" Properties=species:S:1:pos:R:3 pbc="T T T"
Ba 3.619 0.000 2.699
Ba 0.000 3.619 2.699
Al 0.000 0.000 0.000
Hg 1.978 1.978 0.000
Hg 1.641 -1.641 5.397
Hg -1.641 1.641 5.397
Hg 1.641 1.641 5.397
Bi 0.000 0.000 2.917
Bi 0.000 0.000 7.878
```

Its energy relative to the elements is -0.41 eV per atom. Its mass density is 8.936 Mg/m³. For the total energy, the calculation gives -2.247 eV/atom.


K2BaAlBi2: optimized geometry, PBE.

```
12
Lattice="5.027 0.000 0.000 0.000 9.817 0.000 0.000 0.000 9.578" Properties=species:S:1:pos:R:3 pbc="T T T"
K 0.000 0.872 0.000
K 0.000 8.945 4.789
K 2.513 1.638 3.187
K 2.513 8.179 7.976
Ba 2.513 4.538 9.210
Ba 2.513 5.279 4.421
Al 0.000 3.195 6.138
Al 0.000 6.622 1.349
Bi 0.000 3.924 2.229
Bi 0.000 5.893 7.018
Bi 2.513 1.792 6.760
Bi 2.513 8.026 1.971
```

Its energy relative to the elements is -0.44 eV per atom. Its mass density is 4.641 Mg/m³. For the total energy, the calculation gives -3.048 eV/atom.